Crystalline Tb7Dy3Ho2 at its relaxed geometry, computed with PBE.

Output
- E above lowest polymorph: 0.0 meV/atom
- DFT total energy: -54.05 eV/cell
- Energy of formation from the pure elements: 0.11 eV per atom

Cell and atoms, written as POSCAR:
```
Tb7Dy3Ho2
1.0
2.8381 -18.8001 0.0000
2.8381 18.8001 0.0000
0.0000 0.0000 3.5777
Tb Dy Ho
7 3 2
direct
0.0000 0.0000 0.0000
0.0722 0.9278 0.5000
0.2312 0.7688 0.0000
0.4077 0.5923 0.0000
0.5923 0.4077 0.0000
0.7688 0.2312 0.0000
0.9278 0.0722 0.5000
0.3152 0.6848 0.5000
0.5000 0.5000 0.5000
0.6848 0.3152 0.5000
0.1478 0.8522 0.0000
0.8522 0.1478 0.0000
```

Crystalline Tb3Dy7Ho2 at its relaxed geometry, computed with PBE.

Output
- DFT total energy: -51.54 eV/cell
- Energy of formation from the pure elements: 0.31 eV per atom

Cell and atoms, written as POSCAR:
```
Tb3Dy7Ho2
1.0
6.1358 0.0000 0.0000
0.0000 5.5166 0.0000
-0.5296 0.0000 11.9448
Tb Dy Ho
3 7 2
direct
0.0000 0.0000 0.0000
0.4503 0.5000 0.3348
0.5497 0.5000 0.6652
0.0592 0.5000 0.8203
0.2645 0.0000 0.5500
0.4102 0.0000 0.8344
0.5000 0.5000 0.0000
0.5898 0.0000 0.1656
0.7355 0.0000 0.4500
0.9408 0.5000 0.1797
0.1182 0.0000 0.2807
0.8818 0.0000 0.7193
```

Crystalline Tb2Dy3Ho8 at its relaxed geometry, computed with PBE.

Output
- E above lowest polymorph: 223.1 meV/atom
- DFT total energy: -56.54 eV/cell
- Energy of formation from the pure elements: 0.24 eV per atom

Cell and atoms, written as POSCAR:
```
Tb2Dy3Ho8
1.0
10.0994 -3.7793 0.0000
10.0994 3.7793 0.0000
-0.0022 0.0000 5.5517
Tb Dy Ho
2 3 8
direct
0.2413 0.2413 0.4993
0.7587 0.7587 0.5007
0.0000 0.0000 0.5000
0.2858 0.7142 0.0000
0.7142 0.2858 0.0000
0.1324 0.1324 0.9997
0.1800 0.6037 0.4999
0.3334 0.3334 0.9995
0.3963 0.8200 0.5001
0.6037 0.1800 0.4999
0.6666 0.6666 0.0005
0.8200 0.3963 0.5001
0.8676 0.8676 0.0003
```

Crystalline TbDy10Ho4 at its relaxed geometry, computed with PBE.

Output
- DFT total energy: -58.06 eV/cell
- Energy of formation from the pure elements: 0.73 eV per atom

Cell and atoms, written as POSCAR:
```
TbDy10Ho4
1.0
-6.0385 6.0385 3.8184
6.0385 -6.0385 3.8184
6.0385 6.0385 -3.8184
Tb Dy Ho
1 10 4
direct
0.0000 0.0000 0.0000
0.0502 0.3505 0.8995
0.1506 0.0502 0.6997
0.2500 0.7500 0.5000
0.3505 0.4509 0.3003
0.4509 0.1506 0.1005
0.5491 0.8494 0.8995
0.6495 0.5491 0.6997
0.7500 0.2500 0.5000
0.8494 0.9498 0.3003
0.9498 0.6495 0.1005
0.2000 0.3998 0.5998
0.3998 0.8000 0.1998
0.6002 0.2000 0.8002
0.8000 0.6002 0.4002
```